Compound: Li2TaSe
Source: the Alexandria database
Functional: PBE
Structure: optimized geometry

abc: 2.9302 2.9302 27.8755
angles: 90.00 90.00 120.00
Space group R-3m (No. 166, hexagonal axes)
Unique sites:
1 Li 0.0000 0.0000 0.2404 [6 per cell]
2 Ta 0.0000 0.0000 0.0000 [3 per cell]
3 Se 0.0000 0.0000 0.5000 [3 per cell]

Computed properties:
As for the density: 6.58 Mg/m³. The uncorrected formation energy comes out at -0.06 eV per formula unit. Its total energy is -57.7 eV per cell. For the density of states at the Fermi level, the calculation gives 3.87 states/eV/f.u.